DFT (PBE) results for a relaxed structure of Mg8Hg2Ge.

Lattice parameters (Å, degrees): 4.750 7.052 8.212 115.43 106.81 90.00
Fractional coordinates of all 11 atoms:
Mg  0.348  0.117  0.696
Mg  0.652  0.421  0.304
Mg  0.348  0.579  0.696
Mg  0.000  0.278  0.000
Mg  0.165  0.165  0.331
Mg  0.835  0.835  0.669
Mg  0.652  0.883  0.304
Mg  0.000  0.722  0.000
Hg  0.181  0.681  0.363
Hg  0.819  0.319  0.637
Ge  0.500  0.000  0.000

DOS(E_F)	3.32	states/eV per cell
space group	Immm (71)
total magnetization	0.00	μB per atom
total DFT energy (no corrections)	-0.1292	Ry/atom

***

DFT (PBE) results for a relaxed structure of MgHgGe2.

Lattice parameters (Å, degrees): 7.898 7.898 6.248 50.80 50.80 90.00
Fractional coordinates of all 8 atoms:
Mg  0.500  0.500  0.000
Mg  0.250  0.750  0.500
Hg  0.750  0.250  0.500
Hg  0.000  0.000  0.000
Ge  0.111  0.625  0.250
Ge  0.639  0.125  0.250
Ge  0.375  0.361  0.750
Ge  0.875  0.889  0.750

DOS(E_F)	4.44	states/eV per cell
space group	I-42d (122)
total magnetization	0.00	μB per atom
energy above the most stable polymorph in this dataset	111.3	meV/atom

***

DFT (PBE) results for a relaxed structure of MgHgGe2.

Lattice parameters (Å, degrees): 4.253 4.383 4.383 90.00 90.00 90.00
Fractional coordinates of all 4 atoms:
Ge  0.000  0.000  0.500
Ge  0.000  0.500  0.000
Hg  0.500  0.000  0.000
Mg  0.500  0.500  0.500

DOS(E_F)	1.01	states/eV per cell
space group	P4/mmm (123)
total magnetization	0.00	μB per atom
energy above the most stable polymorph in this dataset	0.0	meV/atom

***

DFT (PBE) results for a relaxed structure of Mg2Hg2Ge.

Lattice parameters (Å, degrees): 7.443 7.443 4.063 90.00 90.00 90.00
Fractional coordinates of all 10 atoms:
Mg  0.153  0.347  0.000
Mg  0.653  0.153  0.000
Mg  0.347  0.847  0.000
Mg  0.847  0.653  0.000
Hg  0.349  0.151  0.500
Hg  0.151  0.651  0.500
Hg  0.849  0.349  0.500
Hg  0.651  0.849  0.500
Ge  0.000  0.000  0.000
Ge  0.500  0.500  0.000

DOS(E_F)	4.18	states/eV per cell
space group	P4/mbm (127)
total magnetization	0.00	μB per atom
energy above the most stable polymorph in this dataset	9.6	meV/atom

***

DFT (PBE) results for a relaxed structure of Mg4Hg3Ge.

Lattice parameters (Å, degrees): 3.457 3.457 14.049 90.00 90.00 90.00
Fractional coordinates of all 8 atoms:
Mg  0.000  0.000  0.882
Mg  0.000  0.000  0.626
Mg  0.000  0.000  0.374
Mg  0.000  0.000  0.118
Hg  0.500  0.500  0.500
Hg  0.500  0.500  0.754
Hg  0.500  0.500  0.246
Ge  0.500  0.500  0.000

DOS(E_F)	2.84	states/eV per cell
space group	P4/mmm (123)
total magnetization	0.00	μB per atom
total DFT energy (no corrections)	-0.1225	Ry/atom

***

DFT (PBE) results for a relaxed structure of Mg3HgGe.

Lattice parameters (Å, degrees): 5.084 5.084 5.084 90.00 90.00 90.00
Fractional coordinates of all 5 atoms:
Mg  0.000  0.500  0.000
Mg  0.000  0.000  0.500
Mg  0.500  0.000  0.000
Ge  0.000  0.000  0.000
Hg  0.500  0.500  0.500

DOS(E_F)	2.14	states/eV per cell
space group	Pm-3m (221)
total magnetization	0.00	μB per atom
energy above the most stable polymorph in this dataset	210.4	meV/atom

***

DFT (PBE) results for a relaxed structure of Mg3HgGe.

Lattice parameters (Å, degrees): 5.160 5.160 5.160 90.00 90.00 90.00
Fractional coordinates of all 5 atoms:
Ge  0.500  0.500  0.500
Mg  0.000  0.000  0.500
Mg  0.500  0.000  0.000
Mg  0.000  0.500  0.000
Hg  0.000  0.000  0.000

DOS(E_F)	2.79	states/eV per cell
space group	Pm-3m (221)
total magnetization	0.00	μB per atom
energy above the most stable polymorph in this dataset	485.5	meV/atom

***

DFT (PBE) results for a relaxed structure of MgHg2Ge2.

Lattice parameters (Å, degrees): 7.555 7.555 3.964 90.00 90.00 90.00
Fractional coordinates of all 10 atoms:
Ge  0.166  0.666  0.500
Ge  0.666  0.834  0.500
Ge  0.834  0.334  0.500
Ge  0.334  0.166  0.500
Hg  0.859  0.641  0.000
Hg  0.141  0.359  0.000
Hg  0.359  0.859  0.000
Hg  0.641  0.141  0.000
Mg  0.500  0.500  0.000
Mg  0.000  0.000  0.000

DOS(E_F)	5.29	states/eV per cell
space group	P4/mbm (127)
total magnetization	0.00	μB per atom
energy above the most stable polymorph in this dataset	96.0	meV/atom

***

DFT (PBE) results for a relaxed structure of Mg4Hg2Ge.

Lattice parameters (Å, degrees): 4.753 4.753 8.477 73.72 73.72 60.00
Fractional coordinates of all 7 atoms:
Ge  0.000  0.000  0.000
Hg  0.244  0.244  0.267
Hg  0.756  0.756  0.733
Mg  0.376  0.376  0.872
Mg  0.126  0.126  0.623
Mg  0.624  0.624  0.128
Mg  0.874  0.874  0.377

DOS(E_F)	2.88	states/eV per cell
space group	R-3m (166)
total magnetization	0.00	μB per atom
total DFT energy (no corrections)	-0.1325	Ry/atom

***

DFT (PBE) results for a relaxed structure of Mg6Hg3Ge.

Lattice parameters (Å, degrees): 4.770 8.299 11.161 90.00 90.00 90.00
Fractional coordinates of all 20 atoms:
Mg  0.500  0.500  0.255
Mg  0.500  0.500  0.745
Mg  0.500  0.163  0.912
Mg  0.000  0.328  0.095
Mg  0.000  0.337  0.412
Mg  0.000  0.000  0.755
Mg  0.500  0.827  0.405
Mg  0.500  0.173  0.595
Mg  0.000  0.672  0.905
Mg  0.000  0.663  0.588
Mg  0.500  0.837  0.088
Mg  0.000  0.000  0.245
Hg  0.000  0.334  0.766
Hg  0.500  0.500  0.000
Hg  0.000  0.666  0.234
Hg  0.500  0.166  0.266
Hg  0.500  0.834  0.734
Hg  0.000  0.000  0.500
Ge  0.500  0.500  0.500
Ge  0.000  0.000  0.000

DOS(E_F)	6.05	states/eV per cell
space group	Pnnm (58)
total magnetization	0.00	μB per atom
total DFT energy (no corrections)	-0.1232	Ry/atom

***

DFT (PBE) results for a relaxed structure of MgHg2Ge.

Lattice parameters (Å, degrees): 3.943 3.943 7.467 74.69 74.69 60.00
Fractional coordinates of all 4 atoms:
Ge  0.499  0.499  0.502
Hg  0.084  0.084  0.747
Hg  0.249  0.249  0.252
Mg  0.667  0.667  0.999

DOS(E_F)	1.86	states/eV per cell
space group	R3m (160)
total magnetization	0.00	μB per atom
total DFT energy (no corrections)	-0.1179	Ry/atom

***

DFT (PBE) results for a relaxed structure of MgHg2Ge2.

Lattice parameters (Å, degrees): 4.389 4.389 6.968 71.64 71.64 90.00
Fractional coordinates of all 5 atoms:
Hg  0.250  0.750  0.500
Hg  0.750  0.250  0.500
Ge  0.599  0.599  0.802
Ge  0.401  0.401  0.198
Mg  0.000  0.000  0.000

DOS(E_F)	1.63	states/eV per cell
space group	I4/mmm (139)
total magnetization	0.00	μB per atom
energy above the most stable polymorph in this dataset	105.7	meV/atom